The following is a meta-GGA SCAN calculation of CuNCl3 at its PBEsol-relaxed geometry, from Alexandria via LeMat-Bulk.

E_form (uncorrected)   1.01 eV/atom
Volume   15.86 Å³ per atom
Final energy   -8.677 eV/atom

```
5
Lattice="4.297 0.000 0.000 0.000 4.297 0.000 0.000 0.000 4.297" Properties=species:S:1:pos:R:3 pbc="T T T"
Cu 0.000 0.000 0.000
N 2.148 2.148 2.148
Cl 0.000 2.148 2.148
Cl 2.148 0.000 2.148
Cl 2.148 2.148 0.000
```